Compound: RbMnTe2N
Source: the Alexandria database
Functional: PBE-GGA
Structure: optimized geometry

The structure belongs to space group P4/mmm (No. 123); the cell edges are 6.335, 6.335 and 5.052 Å and the angles 90.00°, 90.00° and 90.00°. Symmetry generates all atoms from Rb at (0.000, 0.000, 0.000), Mn at (0.500, 0.500, 0.500), Te at (0.000, 0.500, 0.000) and N at (0.000, 0.000, 0.500).

The density of states at the Fermi level is 5.9 states/eV/cell. The uncorrected formation energy is 1.75 eV/atom. As for the size of the total moment: 7.06 μB/cell. The excess energy over the best structure of this formula in the dataset comes out at 1829.1 meV per atom.



Compound: La2OsC
Source: the Alexandria database
Functional: PBE-GGA
Structure: optimized geometry

The structure belongs to space group P2_1/m (No. 11); the cell edges are 5.411, 4.000 and 8.197 Å and the angles 90.00°, 97.86° and 90.00°. Symmetry generates all atoms from La at (0.222, 0.250, 0.380), La at (0.241, 0.750, 0.022), Os at (0.285, 0.250, 0.728) and C at (0.292, 0.750, 0.710).

The density of states at the Fermi level is 4.8 states/eV/cell. As for the size of the total moment: 0.00 μB/cell. The energy relative to the elements is -0.5 eV/f.u.



Compound: Pm4SmIn2
Source: the Alexandria database
Functional: PBE-GGA
Structure: optimized geometry

The structure belongs to space group I4/mmm (No. 139); the cell edges are 5.960, 5.960 and 12.824 Å and the angles 90.00°, 90.00° and 90.00°. Symmetry generates all atoms from Pm at (0.000, 0.500, 0.000), Pm at (0.000, 0.500, 0.250), Sm at (0.000, 0.000, 0.000) and In at (0.000, 0.000, 0.376).

The density of states at the Fermi level is 20.9 states/eV/cell. As for the size of the total moment: 0.00 μB/cell. The energy relative to the elements is 0.6 eV/f.u. The excess energy over the best structure of this formula in the dataset comes out at 258.6 meV per atom.



Number 1: calculated volume 40.552 A^3/atom. Number 2: calculated volume 21.968 A^3/atom. Number 3: calculated volume 32.538 A^3/atom.